No. 1
DFT (GGA-PBE) results for an optimized crystal structure of PrNd.

Summary:
Calculated formation energy (eV per atom): 0.0319
Calculated volume (Å³ per atom): 36.0
Mass density (g/cm³): 6.6
VASP energy (Ha/atom): -0.1743

```
data_PrNd
_space_group_name_H-M_alt 'C 1 m 1'
_space_group_IT_number 8
_cell_length_a 13.652
_cell_length_b 3.714
_cell_length_c 8.833
_cell_angle_alpha 90.00
_cell_angle_beta 105.02
_cell_angle_gamma 90.00
loop_
_space_group_symop_operation_xyz
'x,y,z'
'x,-y,z'
'x+1/2,y+1/2,z'
'x+1/2,-y+1/2,z'
loop_
_atom_site_label
_atom_site_type_symbol
_atom_site_fract_x
_atom_site_fract_y
_atom_site_fract_z
Pr1 Pr 0.000 0.000 0.000
Pr2 Pr 0.055 0.000 0.612
Pr3 Pr 0.388 0.000 0.278
Nd1 Nd 0.167 0.500 0.334
Nd2 Nd 0.222 0.500 0.945
Nd3 Nd 0.333 0.000 0.667
```

---

No. 2
DFT (GGA-PBE) results for an optimized crystal structure of Pr2Nd3.

Summary:
Calculated formation energy (eV per atom): 0.3531
Calculated volume (Å³ per atom): 39.1
Mass density (g/cm³): 6.1
VASP energy (Ha/atom): -0.1624

```
data_Pr2Nd3
_space_group_name_H-M_alt 'R -3 c'
_space_group_IT_number 167
_space_group_name_Hall '-R 3 2"c'
_cell_length_a 6.2892
_cell_length_b 6.2892
_cell_length_c 34.2559
_cell_angle_alpha 90.00
_cell_angle_beta 90.00
_cell_angle_gamma 120.00
loop_
_atom_site_label
_atom_site_type_symbol
_atom_site_fract_x
_atom_site_fract_y
_atom_site_fract_z
Pr1 Pr 0.0000 0.0000 0.1655
Nd1 Nd 0.0000 0.3358 0.2500
```

---

No. 3
DFT (GGA-PBE) results for an optimized crystal structure of Pr2Nd5.

Summary:
Calculated formation energy (eV per atom): 0.0978
Calculated volume (Å³ per atom): 35.4
Mass density (g/cm³): 6.7
VASP energy (Ha/atom): -0.1717

```
data_Pr2Nd5
_space_group_name_H-M_alt 'C 1 2/m 1'
_space_group_IT_number 12
_cell_length_a 9.719
_cell_length_b 6.136
_cell_length_c 9.392
_cell_angle_alpha 90.00
_cell_angle_beta 117.76
_cell_angle_gamma 90.00
loop_
_space_group_symop_operation_xyz
'x,y,z'
'-x,-y,-z'
'-x,y,-z'
'x,-y,z'
'x+1/2,y+1/2,z'
'-x+1/2,-y+1/2,-z'
'-x+1/2,y+1/2,-z'
'x+1/2,-y+1/2,z'
loop_
_atom_site_label
_atom_site_type_symbol
_atom_site_fract_x
_atom_site_fract_y
_atom_site_fract_z
Pr1 Pr 0.214 0.000 0.143
Nd1 Nd 0.000 0.500 0.000
Nd2 Nd 0.071 0.000 0.713
Nd3 Nd 0.142 0.500 0.428
```